## PrScPO (PBE)

Data for crystalline PrScPO at its relaxed geometry.

Cell and atoms, written as POSCAR:
```
PrScPO
1.0
4.4477 0.0000 0.0000
0.0000 4.4477 0.0000
0.0000 0.0000 9.1137
Pr Sc P O
2 2 2 2
direct
0.2500 0.7500 0.0000 Pr
0.7500 0.2500 0.0000 Pr
0.2500 0.2500 0.4709 Sc
0.7500 0.7500 0.5291 Sc
0.2500 0.2500 0.1949 P
0.7500 0.7500 0.8051 P
0.2500 0.7500 0.5000 O
0.7500 0.2500 0.5000 O
```

Calculated values
As for the space group: No. 129. As for the energy above the most stable polymorph in this dataset: 498 meV/atom.